Record 1
Density functional theory data (GGA-PBE) for a relaxed structure of LiEuYO2.

POSCAR file:
```
LiEuYO2
1.0
-2.873 8.325 -0.607
-3.844 5.388 -5.842
-4.823 4.387 -1.567
O Eu Y Li
2 1 1 1
Direct
0.172 0.172 0.307
0.828 0.828 0.693
0.000 0.000 0.000
0.500 0.500 0.500
0.000 0.000 0.500
```

The calculation puts the total energy at -7.406 eV per atom. The value obtained for the uncorrected formation energy is -1.693 eV/atom.

Record 2
Density functional theory data (GGA-PBE) for a relaxed structure of YGaAs3.

POSCAR file:
```
YGaAs3
1.0
-1.165 -2.336 -4.775
-0.163 -4.870 2.423
-5.313 0.662 0.972
Y As Ga
1 3 1
Direct
0.000 0.000 0.000
0.000 0.000 0.500
0.500 0.000 0.000
0.000 0.500 0.000
0.500 0.500 0.500
```

The calculation puts the total energy at -4.341 eV per atom.

Record 3
Density functional theory data (GGA-PBE) for a relaxed structure of GaBrO2.

POSCAR file:
```
GaBrO2
1.0
5.506 0.000 0.000
0.000 5.506 0.000
2.753 2.753 4.333
Br O Ga
2 4 2
Direct
0.000 0.000 0.000
0.750 0.250 0.500
0.259 0.625 0.250
0.491 0.125 0.250
0.875 0.741 0.750
0.375 0.509 0.750
0.250 0.750 0.500
0.500 0.500 0.000
```

The calculation puts the total energy at -4.261 eV per atom. The value obtained for the uncorrected formation energy is -0.607 eV/atom.

Record 4
Density functional theory data (GGA-PBE) for a relaxed structure of Ac2MnGaS6.

POSCAR file:
```
Ac2MnGaS6
1.0
-4.511 -0.280 4.537
-4.140 -4.361 -4.386
4.335 -7.723 3.589
Ac S Ga Mn
4 12 2 2
Direct
0.038 0.891 0.247
0.962 0.109 0.753
0.538 0.609 0.747
0.462 0.391 0.253
0.301 0.674 0.458
0.699 0.326 0.542
0.585 0.996 0.240
0.915 0.496 0.260
0.415 0.004 0.760
0.200 0.167 0.459
0.700 0.333 0.959
0.199 0.174 0.042
0.801 0.826 0.958
0.085 0.504 0.740
0.800 0.833 0.541
0.300 0.667 0.041
0.500 0.000 0.500
0.000 0.500 0.000
0.000 0.500 0.500
0.500 0.000 0.000
```

The calculation puts the total energy at -5.893 eV per atom. The value obtained for the uncorrected formation energy is -1.375 eV/atom.

Record 5
Density functional theory data (GGA-PBE) for a relaxed structure of BeAsSN2.

POSCAR file:
```
BeAsSN2
1.0
-0.660 -2.258 2.545
-0.294 -2.545 -2.334
5.072 -0.988 0.438
N Be S As
2 1 1 1
Direct
0.000 0.500 0.000
0.500 0.000 0.000
0.000 0.000 0.000
0.000 0.000 0.500
0.500 0.500 0.500
```

The calculation puts the total energy at -4.664 eV per atom. The value obtained for the uncorrected formation energy is 1.167 eV/atom.

Record 6
Density functional theory data (GGA-PBE) for a relaxed structure of BaMgW2.

POSCAR file:
```
BaMgW2
1.0
-1.847 2.479 -1.332
-0.544 -1.873 -2.733
-7.592 -5.173 0.905
Ba W Mg
1 2 1
Direct
0.000 0.522 0.478
0.500 0.337 0.165
0.000 0.962 0.036
0.500 0.679 0.821
```

The calculation puts the total energy at -6.770 eV per atom.

Record 7
Density functional theory data (GGA-PBE) for a relaxed structure of Cs2K2F5.

POSCAR file:
```
Cs2K2F5
1.0
7.603 0.000 0.000
0.000 6.735 -3.462
0.000 -0.198 7.896
K F Cs
4 10 4
Direct
0.658 0.842 0.000
0.158 0.658 0.000
0.842 0.342 0.000
0.342 0.158 0.000
0.350 0.726 0.750
0.650 0.024 0.750
0.850 0.524 0.750
0.000 0.000 0.000
0.500 0.500 0.000
0.350 0.976 0.250
0.650 0.274 0.250
0.150 0.476 0.250
0.150 0.226 0.750
0.850 0.774 0.250
0.000 0.799 0.599
0.500 0.701 0.401
0.000 0.201 0.401
0.500 0.299 0.599
```

The calculation puts the total energy at -3.869 eV per atom. The value obtained for the uncorrected formation energy is -2.396 eV/atom.

Record 8
Density functional theory data (GGA-PBE) for a relaxed structure of Tm4ZnNi3.

POSCAR file:
```
Tm4ZnNi3
1.0
-2.270 -2.707 -0.890
3.216 -2.062 -1.930
2.224 -4.754 8.784
Ni Tm Zn
3 4 1
Direct
0.000 0.500 0.575
0.500 0.000 0.927
0.000 0.000 0.428
0.000 0.000 0.145
0.500 0.000 0.637
0.500 0.500 0.370
0.000 0.500 0.848
0.500 0.500 0.071
```

The calculation puts the total energy at -5.017 eV per atom.

Record 9
Density functional theory data (GGA-PBE) for a relaxed structure of ErThS3.

POSCAR file:
```
ErThS3
1.0
4.323 0.000 0.000
0.000 6.806 -0.423
0.000 -3.755 10.340
S Er Th
6 2 2
Direct
0.750 0.883 0.592
0.250 0.117 0.408
0.750 0.454 0.242
0.250 0.546 0.758
0.250 0.125 0.901
0.750 0.875 0.099
0.750 0.875 0.344
0.250 0.125 0.656
0.250 0.167 0.165
0.750 0.833 0.835
```

The calculation puts the total energy at -6.707 eV per atom. The value obtained for the uncorrected formation energy is -1.834 eV/atom.

Record 10
Density functional theory data (GGA-PBE) for a relaxed structure of CaAlSe2.

POSCAR file:
```
CaAlSe2
1.0
-1.913 2.236 5.382
-5.493 -2.584 -0.879
-1.571 -5.751 5.326
Ca Se Al
2 4 2
Direct
0.750 0.250 0.500
0.000 0.000 0.000
0.875 0.832 0.750
0.375 0.418 0.750
0.582 0.125 0.250
0.168 0.625 0.250
0.250 0.750 0.500
0.500 0.500 0.000
```

The calculation puts the total energy at -4.160 eV per atom. The value obtained for the uncorrected formation energy is -0.981 eV/atom.

Record 11
Density functional theory data (GGA-PBE) for a relaxed structure of CaSCl.

POSCAR file:
```
CaSCl
1.0
-2.145 3.279 -0.223
-4.601 -1.517 -2.410
-4.225 -2.277 5.661
Ca S Cl
2 2 2
Direct
0.207 0.970 0.024
0.059 0.341 0.443
0.772 0.535 0.021
0.639 0.216 0.202
0.664 0.109 0.726
0.385 0.733 0.426
```

The calculation puts the total energy at -4.437 eV per atom. The value obtained for the uncorrected formation energy is -1.779 eV/atom.

Record 12
Density functional theory data (GGA-PBE) for a relaxed structure of Dy2Si2Ge.

POSCAR file:
```
Dy2Si2Ge
1.0
-2.894 2.090 1.876
-4.223 -3.310 1.508
-0.101 -1.145 5.453
Si Ge Dy
2 1 2
Direct
0.500 0.696 0.304
0.500 0.304 0.696
0.000 0.000 0.000
0.777 0.723 0.723
0.223 0.277 0.277
```

The calculation puts the total energy at -5.635 eV per atom. The value obtained for the uncorrected formation energy is -0.702 eV/atom.